Computed, not measured: an optimized crystal structure of Pm3Zn2 at the PBE level of DFT.

* D(E_F): 11.75 states/eV per cell
* energy of formation from the pure elements: -0.25 eV per atom
* raw total energy: -36.11 eV per cell

abc: 3.6578 3.6578 19.8062
angles: 90.00 90.00 90.00
Last column: nearest neighbours and their distance in Å.
Element x y z (fractional)
Pm 0.0000 0.0000 0.0000  8 Zn 3.17
Pm 0.0000 0.0000 0.1837  8 Zn 3.15-3.18
Pm 0.0000 0.0000 0.3682  4 Zn 3.15
Pm 0.0000 0.0000 0.6318  4 Zn 3.15
Pm 0.0000 0.0000 0.8163  8 Zn 3.15-3.18
Pm 0.5000 0.5000 0.5000  12 Pm 3.66-3.67
Zn 0.5000 0.5000 0.0926  8 Pm 3.15-3.17
Zn 0.5000 0.5000 0.2770  8 Pm 3.15-3.18
Zn 0.5000 0.5000 0.7230  8 Pm 3.15-3.18
Zn 0.5000 0.5000 0.9074  8 Pm 3.15-3.17



Computed, not measured: an optimized crystal structure of PmZn11 at the PBE level of DFT.

* D(E_F): 7.58 states/eV per cell
* energy of formation from the pure elements: -0.20 eV per atom
* raw total energy: -42.38 eV per cell

abc: 8.2422 8.2422 8.2422
angles: 100.02 100.02 130.70
Last column: nearest neighbours and their distance in Å.
Element x y z (fractional)
Pm 0.3750 0.6250 0.7500  18 Zn 3.27-3.44
Pm 0.6250 0.3750 0.2500  18 Zn 3.27-3.44
Zn 0.0000 0.0000 0.0000  10 Zn 2.62-2.78
Zn 0.0000 0.0000 0.5000  10 Zn 2.62-2.78
Zn 0.0000 0.5000 0.0000  10 Zn 2.62-2.78
Zn 0.1250 0.8750 0.2500  12 Zn 2.78-2.88
Zn 0.1317 0.5545 0.3338  8 Zn 2.58-2.88
Zn 0.1317 0.7978 0.5772  8 Zn 2.58-2.88
Zn 0.2022 0.2794 0.3338  8 Zn 2.58-2.88
Zn 0.2022 0.8683 0.9228  8 Zn 2.58-2.88
Zn 0.2794 0.2022 0.8338  8 Zn 2.58-2.88
Zn 0.2794 0.4455 0.0772  8 Zn 2.58-2.88
Zn 0.4455 0.2794 0.5772  8 Zn 2.58-2.88
Zn 0.4455 0.8683 0.1662  8 Zn 2.58-2.88
Zn 0.5000 0.0000 0.5000  10 Zn 2.62-2.78
Zn 0.5545 0.1317 0.8338  8 Zn 2.58-2.88
Zn 0.5545 0.7206 0.4228  8 Zn 2.58-2.88
Zn 0.7206 0.5545 0.9228  8 Zn 2.58-2.88
Zn 0.7206 0.7978 0.1662  8 Zn 2.58-2.88
Zn 0.7978 0.1317 0.0772  8 Zn 2.58-2.88
Zn 0.7978 0.7206 0.6662  8 Zn 2.58-2.88
Zn 0.8683 0.2022 0.4228  8 Zn 2.58-2.88
Zn 0.8683 0.4455 0.6662  8 Zn 2.58-2.88
Zn 0.8750 0.1250 0.7500  12 Zn 2.78-2.88



Computed, not measured: an optimized crystal structure of Pm3Zn at the PBE level of DFT.

* D(E_F): 4.26 states/eV per cell
* energy of formation from the pure elements: -0.13 eV per atom
* raw total energy: -16.04 eV per cell
* offset from the most stable computed form: 2.3 kJ per mole of atoms

abc: 6.6549 6.6549 6.6549
angles: 146.94 132.11 59.43
Last column: nearest neighbours and their distance in Å.
Element x y z (fractional)
Pm 0.0000 0.0000 0.0000  4 Zn 3.30, 4 Pm 3.65
Pm 0.2876 0.7876 0.5000  2 Zn 3.10, 4 Pm 3.41
Pm 0.7124 0.2124 0.5000  2 Zn 3.10, 4 Pm 3.41
Zn 0.5000 0.5000 0.0000  8 Pm 3.10-3.30